Pr12TlCd3 | PBE-GGA | relaxed

Calculated values
For the formation energy from the elements, the calculation gives -142 meV/atom. The calculation puts the magnetization at 0.00 μB per formula unit. The theoretical density comes out at 7.306 Mg/m³.

Lattice parameters (Å, degrees): 5.0305 5.0305 20.0518 90.00 90.00 90.00
Atoms (fractional coordinates):
Pr (0.0000, 0.0000, 0.0000)
Pr (0.0000, 0.0000, 0.2494)
Pr (0.0000, 0.0000, 0.5000)
Pr (0.0000, 0.0000, 0.7506)
Pr (0.0000, 0.5000, 0.1248)
Pr (0.0000, 0.5000, 0.3747)
Pr (0.0000, 0.5000, 0.6253)
Pr (0.0000, 0.5000, 0.8752)
Pr (0.5000, 0.0000, 0.1248)
Pr (0.5000, 0.0000, 0.3747)
Pr (0.5000, 0.0000, 0.6253)
Pr (0.5000, 0.0000, 0.8752)
Tl (0.5000, 0.5000, 0.5000)
Cd (0.5000, 0.5000, 0.0000)
Cd (0.5000, 0.5000, 0.2496)
Cd (0.5000, 0.5000, 0.7504)